The following is a GGA-PBE calculation of an optimized crystal structure of K2RePd, from the Alexandria database.

Cell lengths 7.7971, 7.7971, 7.7971 Å; angles 90.00, 90.00, 90.00 degrees
Space group Fm-3m (No. 225)
One atom of each set of equivalent atoms:
1 K 0.2500 0.2500 0.2500 x8
2 Re 0.0000 0.0000 0.0000 x4
3 Pd 0.0000 0.0000 0.5000 x4

Computed properties:
**ΔH_f (0 K)**: 1.634 eV per atom
**E_tot**: -3.3246 eV per atom
**Energy relative to the lowest polymorph listed for this composition**: 388.1 meV/atom

The following is a GGA-PBE calculation of an optimized crystal structure of Ce2YCu2Sn2, from the Alexandria database.

Cell lengths 4.4681, 4.4681, 27.6478 Å; angles 90.00, 90.00, 120.00 degrees
Space group R-3m (No. 166, hexagonal axes)
One atom of each set of equivalent atoms:
1 Ce 0.0000 0.0000 0.1418 x6
2 Y 0.0000 0.0000 0.0000 x3
3 Cu 0.0000 0.0000 0.4123 x6
4 Sn 0.0000 0.0000 0.2661 x6

Computed properties:
**ΔH_f (0 K)**: -0.392 eV per atom
**E_tot**: -5.3244 eV per atom